PBE+U Nd2CoPbO6, relaxed; energy relative to the lowest polymorph listed for this composition = 0.354 eV/atom; electronic total energy = -6.5941 eV per atom; SG = I4/mmm, No. 139; crystal system = tetragonal
1.0
-2.9221 -4.4347 -2.1272
-4.8948 2.1405 2.0468
3.3532 3.1593 -3.3920
O Nd Pb Co
6 2 1 1
Direct
0.2449 0.2449 0.0000 O
0.7551 0.7551 0.0000 O
0.7586 0.7586 0.5173 O
0.2414 0.7586 0.0000 O
0.7586 0.2414 0.0000 O
0.2414 0.2414 0.4827 O
0.7500 0.2500 0.5000 Nd
0.2500 0.7500 0.5000 Nd
0.5000 0.5000 0.0000 Pb
0.0000 0.0000 0.0000 Co